Model i:
MgCdSO: relaxed, GGA-PBE.

CIF file:
```
data_MgCdSO
_symmetry_space_group_name_H-M 'P 21 21 21'
_symmetry_Int_Tables_number 19
_cell_length_a 5.743
_cell_length_b 6.809
_cell_length_c 7.554
_cell_angle_alpha 90.00
_cell_angle_beta 90.00
_cell_angle_gamma 90.00
loop_
_symmetry_equiv_pos_as_xyz
'x,y,z'
'-x+1/2,-y,z+1/2'
'x+1/2,-y+1/2,-z'
'-x,y+1/2,-z+1/2'
loop_
_atom_site_label
_atom_site_fract_x
_atom_site_fract_y
_atom_site_fract_z
Mg1 0.112 0.202 0.409
Cd1 0.002 0.637 0.637
S1 0.005 0.362 0.131
O1 0.049 0.812 0.890
```

Calculated values
mass density = 4.16 g/cm3
crystal system = orthorhombic

Model ii:
MgCdSO: relaxed, GGA-PBE.

CIF file:
```
data_MgCdSO
_symmetry_space_group_name_H-M 'P 21 21 21'
_symmetry_Int_Tables_number 19
_cell_length_a 5.833
_cell_length_b 6.982
_cell_length_c 7.387
_cell_angle_alpha 90.00
_cell_angle_beta 90.00
_cell_angle_gamma 90.00
loop_
_symmetry_equiv_pos_as_xyz
'x,y,z'
'-x+1/2,-y,z+1/2'
'x+1/2,-y+1/2,-z'
'-x,y+1/2,-z+1/2'
loop_
_atom_site_label
_atom_site_fract_x
_atom_site_fract_y
_atom_site_fract_z
Mg1 0.173 0.179 0.090
Cd1 0.170 0.403 0.674
S1 0.018 0.374 0.350
O1 0.013 0.749 0.616
```

Calculated values
mass density = 4.08 g/cm3
crystal system = orthorhombic

Energies in eV/atom, measured from the most stable structure: model i 0.000; model ii 0.059.

Model i:
MgZnTeO: relaxed, GGA-PBE.

CIF file:
```
data_MgZnTeO
_symmetry_space_group_name_H-M 'P c a 21'
_symmetry_Int_Tables_number 29
_cell_length_a 5.698
_cell_length_b 8.287
_cell_length_c 5.698
_cell_angle_alpha 90.00
_cell_angle_beta 90.00
_cell_angle_gamma 90.00
loop_
_symmetry_equiv_pos_as_xyz
'x,y,z'
'-x,-y,z+1/2'
'-x+1/2,y,z+1/2'
'x+1/2,-y,z'
loop_
_atom_site_label
_atom_site_fract_x
_atom_site_fract_y
_atom_site_fract_z
Mg1 0.250 0.002 0.000
Zn1 0.002 0.678 0.254
Te1 0.001 0.339 0.252
O1 0.001 0.940 0.250
```

Calculated values
mass density = 5.76 g/cm3
crystal system = orthorhombic

Model ii:
MgZnTeO: relaxed, GGA-PBE.

CIF file:
```
data_MgZnTeO
_symmetry_space_group_name_H-M 'P n m a'
_symmetry_Int_Tables_number 62
_cell_length_a 5.821
_cell_length_b 3.811
_cell_length_c 13.687
_cell_angle_alpha 90.00
_cell_angle_beta 90.00
_cell_angle_gamma 90.00
loop_
_symmetry_equiv_pos_as_xyz
'x,y,z'
'-x,-y,-z'
'-x+1/2,-y,z+1/2'
'x+1/2,y,-z+1/2'
'x+1/2,-y+1/2,-z+1/2'
'-x+1/2,y+1/2,z+1/2'
'-x,y+1/2,-z'
'x,-y+1/2,z'
loop_
_atom_site_label
_atom_site_fract_x
_atom_site_fract_y
_atom_site_fract_z
Mg1 0.250 0.250 0.116
Zn1 0.126 0.250 0.804
Te1 0.235 0.250 0.421
O1 0.220 0.750 0.176
```

Calculated values
mass density = 5.10 g/cm3
crystal system = orthorhombic

Energies in eV/atom, measured from the most stable structure: model i 0.000; model ii 0.092.